Li4Cr3Cu2Sb3O16: relaxed, PBE with a Hubbard U. Values from VASP.

Properties
The calculation puts the volume at 11.4 Å³/atom. For the total DFT energy (no corrections), the calculation gives -6.2032 eV per atom. The calculation puts the calculated density at 4856 kg/m3. For the total magnetic moment, the calculation gives 9.0 μB per formula unit.

Cell and atoms, written as Quantum ESPRESSO input:
```
&SYSTEM
  ibrav = 0, nat = 28, ntyp = 5
/
ATOMIC_SPECIES
Li 6.94 Li.upf
Cr 52.00 Cr.upf
Cu 63.55 Cu.upf
Sb 121.76 Sb.upf
O 16.00 O.upf
CELL_PARAMETERS angstrom
6.031 0.000 0.000
2.971 5.330 0.000
0.393 -0.217 9.917
ATOMIC_POSITIONS crystal
Li 0.000 0.000 0.000
Li 0.021 0.951 0.489
Li 0.368 0.316 0.588
Li 0.722 0.610 0.111
Cr 0.219 0.609 0.274
Cr 0.715 0.110 0.275
Cr 0.860 0.834 0.774
Cu 0.387 0.318 0.012
Cu 0.709 0.633 0.465
Sb 0.225 0.110 0.274
Sb 0.365 0.834 0.774
Sb 0.862 0.341 0.774
O 0.011 0.509 0.666
O 0.032 0.002 0.670
O 0.061 0.939 0.176
O 0.099 0.419 0.153
O 0.176 0.161 0.889
O 0.176 0.704 0.881
O 0.351 0.799 0.389
O 0.375 0.286 0.383
O 0.542 0.420 0.156
O 0.546 0.972 0.667
O 0.548 0.961 0.165
O 0.551 0.510 0.657
O 0.688 0.669 0.887
O 0.708 0.169 0.885
O 0.885 0.793 0.383
O 0.893 0.262 0.384
```